one | LaHgPd6 PBE-GGA optimized geometry; ρ = 11.4 g/cm³
1.0
5.807 0.000 0.000
0.000 5.807 0.000
0.000 0.000 4.219
La Hg Pd
1 1 6
Cartesian
0.000 0.000 0.000
2.904 2.904 0.000
0.000 2.904 0.000
1.491 1.491 2.109
1.491 4.316 2.109
2.904 0.000 0.000
4.316 1.491 2.109
4.316 4.316 2.109

=====

two | LaHgPd6 PBE-GGA optimized geometry; ρ = 11.1 g/cm³
1.0
5.271 0.000 0.000
0.000 5.271 0.000
0.000 0.000 5.271
La Hg Pd
1 1 6
Cartesian
0.000 0.000 0.000
2.636 2.636 2.636
0.000 1.339 2.636
0.000 3.932 2.636
1.339 2.636 0.000
2.636 0.000 1.339
2.636 0.000 3.932
3.932 2.636 0.000

=====

Least stable: two

=====

one | La3Hg2Pd4 PBE-GGA optimized geometry; ρ = 9.6 g/cm³
1.0
5.023 -2.336 0.000
5.023 2.336 0.000
-0.419 0.000 9.156
La Hg Pd
3 2 4
Cartesian
0.000 0.000 0.000
3.478 0.000 5.633
6.149 0.000 3.523
3.143 0.000 2.046
6.484 0.000 7.110
0.510 0.000 5.761
2.513 0.000 8.375
7.114 0.000 0.781
9.117 0.000 3.395

=====

two | La3Hg2Pd4 PBE-GGA optimized geometry; ρ = 9.5 g/cm³
1.0
6.162 -2.151 0.000
6.162 2.151 0.000
-4.442 0.000 8.200
La Hg Pd
3 2 4
Cartesian
0.000 0.000 0.000
3.066 0.000 2.498
4.815 0.000 5.703
1.211 0.000 5.563
6.671 0.000 2.637
-1.054 0.000 3.396
-0.560 0.000 7.746
8.442 0.000 0.454
8.935 0.000 4.804

=====

Least stable: one